The following is a PBE calculation of Mg2Zn6Rh after structural relaxation, from the Alexandria database.

Computed properties:
As for the formation energy from the elements: -0.1739 eV/atom. The calculation puts the density of states at the Fermi level at 4.0 states/eV/f.u. Its space-group type is C2/m, No. 12. The value obtained for the uncorrected energy is -19.7 eV for the cell shown.

Unit cell a=5.148 b=5.148 c=6.537 alpha=90.20 beta=90.20 gamma=59.97
Element x y z (fractional)
Mg 0.167 0.167 0.073
Mg 0.833 0.833 0.927
Zn 0.162 0.669 0.325
Zn 0.330 0.330 0.674
Zn 0.331 0.838 0.675
Zn 0.669 0.162 0.325
Zn 0.670 0.670 0.326
Zn 0.838 0.331 0.675
Rh 0.500 0.500 0.000